Li2HgGeO4: relaxed, PBE.

a b c (Å): 4.842 4.842 5.455
angles (deg): 116.35 116.35 90.00
Sites, in units of the cell vectors:
O: 0.835 0.423 0.258
Li: 0.250 0.750 0.500
Li: 0.750 0.250 0.500
O: 0.165 0.165 0.742
O: 0.577 0.577 0.742
O: 0.423 0.835 0.258
Ge: 0.500 0.500 0.000
Hg: 0.000 0.000 0.000

Calculated values
Total magnetic moment, μB/atom: 0.000
ΔE_f (raw), eV per atom: -1.543
Energy, eV per atom: -5.12
Space group: I-42m

---

TaTl2In2: relaxed, PBE.

a b c (Å): 3.994 3.994 8.776
angles (deg): 76.85 76.85 90.00
Sites, in units of the cell vectors:
Ta: 0.000 0.000 0.000
Tl: 0.589 0.589 0.823
In: 0.250 0.750 0.500
Tl: 0.411 0.411 0.177
In: 0.750 0.250 0.500

Calculated values
Total magnetic moment, μB/atom: 0.097
Energy, eV per atom: -3.58
E_form, eV/atom: 0.828
Space group: I4/mmm

---

Cs2PtBrN: relaxed, PBE.

a b c (Å): 6.607 6.607 3.754
angles (deg): 90.00 90.00 90.00
Sites, in units of the cell vectors:
Cs: 0.000 0.500 0.000
Pt: 0.000 0.000 0.500
Cs: 0.500 0.000 0.000
Br: 0.500 0.500 0.500
N: 0.000 0.000 0.000

Calculated values
Total magnetic moment, μB/atom: 0.000
ΔE_f (raw), eV per atom: -0.719
Energy, eV per atom: -4.27
Space group: P4/mmm

---

Li3Tl2RhO6: relaxed, PBE.

a b c (Å): 5.869 5.869 5.175
angles (deg): 98.24 98.24 122.66
Sites, in units of the cell vectors:
Tl: 0.671 0.329 0.000
Li: 0.122 0.878 0.500
O: 0.237 0.237 0.765
O: 0.353 0.068 0.236
O: 0.932 0.647 0.764
O: 0.068 0.353 0.236
O: 0.647 0.932 0.764
Li: 0.500 0.500 0.500
Tl: 0.329 0.671 0.000
Rh: 0.000 0.000 0.000
Li: 0.878 0.122 0.500
O: 0.763 0.763 0.235

Calculated values
Total magnetic moment, μB/atom: 0.000
ΔE_f (raw), eV per atom: -1.188
Energy, eV per atom: -5.15
Space group: C2/m

---

HfScZnCo: relaxed, PBE.

a b c (Å): 4.568 4.568 4.568
angles (deg): 60.00 60.00 60.00
Sites, in units of the cell vectors:
Zn: 0.000 0.000 0.000
Hf: 0.250 0.250 0.250
Co: 0.500 0.500 0.500
Sc: 0.750 0.750 0.750

Calculated values
Total magnetic moment, μB/atom: 0.063
Energy, eV per atom: -6.44
E_form, eV/atom: -0.274
Space group: F-43m

---

Na3TiTc: relaxed, PBE.

a b c (Å): 5.253 5.253 5.253
angles (deg): 90.00 90.00 90.00
Sites, in units of the cell vectors:
Tc: 0.000 0.000 0.000
Na: 0.500 0.000 0.000
Na: 0.000 0.500 0.000
Ti: 0.500 0.500 0.500
Na: 0.000 0.000 0.500

Calculated values
Total magnetic moment, μB/atom: 0.070
Energy, eV per atom: -2.49
E_form, eV/atom: 1.954
Space group: Pm-3m

---

CrMo2As: relaxed, PBE.

a b c (Å): 3.078 3.078 6.174
angles (deg): 90.00 90.00 90.00
Sites, in units of the cell vectors:
As: 0.500 0.500 0.250
Cr: 0.500 0.500 0.750
Mo: 0.000 0.000 0.997
Mo: 0.000 0.000 0.503

Calculated values
Total magnetic moment, μB/atom: 0.139
Energy, eV per atom: -8.83
E_form, eV/atom: 0.149
Space group: P4/mmm

---

TaCdHg: relaxed, PBE.

a b c (Å): 4.662 4.662 4.662
angles (deg): 60.00 60.00 60.00
Sites, in units of the cell vectors:
Cd: 0.000 0.000 0.000
Hg: 0.500 0.500 0.500
Ta: 0.750 0.750 0.750

Calculated values
Total magnetic moment, μB/atom: 0.000
Energy, eV per atom: -3.42
E_form, eV/atom: 0.940
Space group: F-43m